PBE Mg5Cd2Rh2, relaxed; ΔE_f = -252 meV per atom; SG = Cmce (64); N(E_F) = 0.34 states/eV/atom; ΔE to the lowest computed polymorph = 0 meV/atom
1.0
8.285 -3.346 0.000
8.285 3.346 0.000
0.000 0.000 6.649
Mg Cd Rh
10 4 4
Direct
0.000 0.000 0.000
0.055 0.717 0.670
0.217 0.555 0.170
0.283 0.945 0.670
0.445 0.783 0.170
0.500 0.500 0.500
0.555 0.217 0.830
0.717 0.055 0.330
0.783 0.445 0.830
0.945 0.283 0.330
0.230 0.230 0.000
0.270 0.270 0.500
0.730 0.730 0.500
0.770 0.770 0.000
0.136 0.864 0.365
0.364 0.636 0.865
0.636 0.364 0.135
0.864 0.136 0.635